# BeFeC, relaxed, DFT PBE
data_BeFeC
_space_group_name_H-M_alt 'P 1'
_space_group_IT_number 1
_cell_length_a 3.225
_cell_length_b 3.225
_cell_length_c 3.222
_cell_angle_alpha 119.93
_cell_angle_beta 119.93
_cell_angle_gamma 90.09
loop_
_space_group_symop_operation_xyz
'x,y,z'
loop_
_atom_site_label
_atom_site_type_symbol
_atom_site_fract_x
_atom_site_fract_y
_atom_site_fract_z
_atom_site_occupancy
Be1 Be 0.000 0.000 0.000 1
Fe1 Fe 0.499 0.501 0.000 1
C1 C 0.750 0.250 0.500 1
# SG: C2 (5)
# Formation energy (eV per atom): 0.125
# Total energy (Ry per atom): -0.5154
# Magnetic moment (μB/atom): 0.000